1.
A geometry-optimized SmPdPb structure. Source: the Alexandria database, functional PBE.

```
data_SmPdPb
_chemical_formula_sum 'Sm3 Pd3 Pb3'
_space_group_name_H-M_alt 'P -6 2 m'
_space_group_IT_number 189
_space_group_name_Hall 'P -6 -2'
_cell_length_a 7.8925
_cell_length_b 7.8925
_cell_length_c 3.9858
_cell_angle_alpha 90.00
_cell_angle_beta 90.00
_cell_angle_gamma 120.00
loop_
_atom_site_label
_atom_site_fract_x
_atom_site_fract_y
_atom_site_fract_z
Sm1 0.0000 0.5967 0.0000
Pd1 0.0000 0.0000 0.0000
Pd2 0.3333 0.6667 0.5000
Pb1 0.0000 0.2628 0.5000
```

Calculated values
DFT formation energy ... -0.73 eV/atom
M_tot ... 0.00 μB/f.u.
E_tot ... -5.27 eV per atom
Volume ... 72 Å³/f.u.


2.
A geometry-optimized SmPd2Pb structure. Source: the Alexandria database, functional PBE.

```
data_SmPd2Pb
_chemical_formula_sum 'Sm4 Pd8 Pb4'
_space_group_name_H-M_alt 'F m -3 m'
_space_group_IT_number 225
_space_group_name_Hall '-F 4 2 3'
_cell_length_a 6.976
_cell_length_b 6.976
_cell_length_c 6.976
_cell_angle_alpha 90.00
_cell_angle_beta 90.00
_cell_angle_gamma 90.00
loop_
_atom_site_label
_atom_site_fract_x
_atom_site_fract_y
_atom_site_fract_z
Sm1 0.000 0.000 0.000
Pd1 0.250 0.250 0.250
Pb1 0.000 0.000 0.500
```

Calculated values
DFT formation energy ... -0.66 eV/atom
M_tot ... 0.00 μB/f.u.
E_tot ... -5.36 eV per atom
Volume ... 85 Å³/f.u.


3.
A geometry-optimized Sm3Pd5Pb structure. Source: the Alexandria database, functional PBE.

```
data_Sm3Pd5Pb
_chemical_formula_sum 'Sm12 Pd20 Pb4'
_space_group_name_H-M_alt 'I 4/m c m'
_space_group_IT_number 140
_space_group_name_Hall '-I 4 2c'
_cell_length_a 8.320
_cell_length_b 8.320
_cell_length_c 11.835
_cell_angle_alpha 90.00
_cell_angle_beta 90.00
_cell_angle_gamma 90.00
loop_
_atom_site_label
_atom_site_fract_x
_atom_site_fract_y
_atom_site_fract_z
Sm1 0.000 0.000 0.250
Sm2 0.127 0.373 0.000
Pd1 0.000 0.000 0.000
Pd2 0.199 0.301 0.361
Pb1 0.000 0.500 0.250
```

Calculated values
DFT formation energy ... -0.47 eV/atom
M_tot ... 0.00 μB/f.u.
E_tot ... -5.34 eV per atom
Volume ... 205 Å³/f.u.


4.
A geometry-optimized Sm5Pd2Pb structure. Source: the Alexandria database, functional PBE.

```
data_Sm5Pd2Pb
_chemical_formula_sum 'Sm20 Pd8 Pb4'
_space_group_name_H-M_alt 'I 4/m c m'
_space_group_IT_number 140
_space_group_name_Hall '-I 4 2c'
_cell_length_a 8.060
_cell_length_b 8.060
_cell_length_c 13.704
_cell_angle_alpha 90.00
_cell_angle_beta 90.00
_cell_angle_gamma 90.00
loop_
_atom_site_label
_atom_site_fract_x
_atom_site_fract_y
_atom_site_fract_z
Sm1 0.000 0.000 0.000
Sm2 0.157 0.343 0.141
Pd1 0.133 0.367 0.500
Pb1 0.000 0.000 0.250
```

Calculated values
DFT formation energy ... -0.58 eV/atom
M_tot ... 0.00 μB/f.u.
E_tot ... -5.29 eV per atom
Volume ... 223 Å³/f.u.